Entry 1:
The following is a DFT calculation (PBE-GGA) of a relaxed KZr2Ir crystal.

Cell and atoms, written as CIF:
```
data_KZr2Ir
_chemical_formula_sum 'K1 Zr2 Ir1'
_space_group_name_H-M_alt 'P 1 m 1'
_space_group_IT_number 6
_space_group_name_Hall 'P -2y'
_cell_length_a 3.198
_cell_length_b 4.267
_cell_length_c 8.378
_cell_angle_alpha 90.00
_cell_angle_beta 90.01
_cell_angle_gamma 90.00
loop_
_atom_site_label
_atom_site_type_symbol
_atom_site_fract_x
_atom_site_fract_y
_atom_site_fract_z
K1 K 0.000 0.000 0.000
Zr1 Zr 0.006 0.000 0.424
Zr2 Zr 0.506 0.500 0.629
Ir1 Ir 0.506 0.500 0.329
```

Properties
- mass density (Mg/m³) = 6.01
- D(E_F) (states/eV per atom) = 1.150
- raw total energy (eV/atom) = -6.62
- polymorph energy (0 for the lowest one) (meV per atom) = 146
- formation energy (eV per atom) = 0.140

---

Entry 2:
The following is a DFT calculation (PBE-GGA) of a relaxed SmMgPb3 crystal.

Cell and atoms, written as CIF:
```
data_SmMgPb3
_chemical_formula_sum 'Sm2 Mg2 Pb6'
_space_group_name_H-M_alt 'P -1'
_space_group_IT_number 2
_space_group_name_Hall '-P 1'
_cell_length_a 3.548
_cell_length_b 9.278
_cell_length_c 9.402
_cell_angle_alpha 75.39
_cell_angle_beta 89.96
_cell_angle_gamma 79.00
loop_
_atom_site_label
_atom_site_type_symbol
_atom_site_fract_x
_atom_site_fract_y
_atom_site_fract_z
Sm1 Sm 0.026 0.445 0.251
Mg1 Mg 0.260 0.976 0.145
Pb1 Pb 0.305 0.891 0.647
Pb2 Pb 0.400 0.710 0.998
Pb3 Pb 0.407 0.680 0.410
```

Properties
- mass density (Mg/m³) = 9.01
- D(E_F) (states/eV per atom) = 0.586
- raw total energy (eV/atom) = -3.66
- polymorph energy (0 for the lowest one) (meV per atom) = 90
- formation energy (eV per atom) = -0.172